Entry from the Alexandria database: a relaxed ZrMnMoF2 crystal (PBE+U).

Results
Calculated density: 4.3 Mg/m³
Magnetization: 1.00 μB/f.u.
Crystal system: tetragonal
Total DFT energy (no corrections): -6.28 eV per atom

Cell: 4.1752 4.1752 6.2584 Å, 90.00 90.00 90.00°
Closest atoms and distances in Å follow each position.
Space group P4/mmm (No. 123)
Asymmetric unit:
Zr  0.0000  0.0000  0.0000 (multiplicity 1)  4 F 2.09
Mn  0.5000  0.5000  0.5000 (multiplicity 1)  4 Mo 2.95
Mo  0.0000  0.0000  0.5000 (multiplicity 1)  4 Mn 2.95, 2 Zr 3.13
F  0.0000  0.5000  0.0000 (multiplicity 2)  2 Zr 2.09